## K2Pr2CoO6 (GGA+U)

Data for an optimized crystal structure of K2Pr2CoO6.

Cell and atoms, written as POSCAR:
```
K2Pr2CoO6
1.0
2.711 1.565 6.823
-2.711 1.565 6.823
0.000 -3.130 6.823
K Pr Co O
2 2 1 6
Direct
0.148 0.148 0.148
0.852 0.852 0.852
0.304 0.304 0.304
0.696 0.696 0.696
0.000 0.000 0.000
0.218 0.218 0.727
0.218 0.727 0.218
0.273 0.782 0.782
0.727 0.218 0.218
0.782 0.273 0.782
0.782 0.782 0.273
```

## Properties
Final energy: -65.86 eV/f.u.
Total magnetic moment: 0.0908 μB/atom